# 1
# Hf6IrRu PBE optimized geometry
data_Hf6IrRu
_symmetry_space_group_name_H-M 'C 1 2/m 1'
_symmetry_Int_Tables_number 12
_symmetry_space_group_name_Hall '-C 2y'
_cell_length_a 6.081
_cell_length_b 10.536
_cell_length_c 6.084
_cell_angle_alpha 90.00
_cell_angle_beta 117.99
_cell_angle_gamma 90.00
loop_
_atom_site_label
_atom_site_type_symbol
_atom_site_fract_x
_atom_site_fract_y
_atom_site_fract_z
Hf1 Hf 0.248 0.000 0.251
Hf2 Hf 0.249 0.203 0.748
Ir1 Ir 0.000 0.500 0.000
Ru1 Ru 0.000 0.000 0.500
# Magnetization, Bohr magnetons per cell: 0.00
# D(E_F), states/eV per atom: 0.853
# Energy of formation, meV/atom: -17
# Raw total energy, eV per cell: -156.0

# 2
# BaNaBi2Pb PBE optimized geometry
data_BaNaBi2Pb
_symmetry_space_group_name_H-M 'I -4 m 2'
_symmetry_Int_Tables_number 119
_symmetry_space_group_name_Hall 'I -4 -2'
_cell_length_a 4.921
_cell_length_b 4.921
_cell_length_c 15.088
_cell_angle_alpha 90.00
_cell_angle_beta 90.00
_cell_angle_gamma 90.00
loop_
_atom_site_label
_atom_site_type_symbol
_atom_site_fract_x
_atom_site_fract_y
_atom_site_fract_z
Ba1 Ba 0.000 0.000 0.000
Na1 Na 0.000 0.500 0.750
Bi1 Bi 0.000 0.000 0.394
Pb1 Pb 0.000 0.500 0.250
# Magnetization, Bohr magnetons per cell: 0.00
# D(E_F), states/eV per atom: 0.398
# Energy of formation, meV/atom: -473
# Raw total energy, eV per cell: -34.2

# 3
# Np3AsP2 PBE optimized geometry
data_Np3AsP2
_symmetry_space_group_name_H-M 'I 4/m m m'
_symmetry_Int_Tables_number 139
_symmetry_space_group_name_Hall '-I 4 2'
_cell_length_a 4.018
_cell_length_b 4.018
_cell_length_c 17.022
_cell_angle_alpha 90.00
_cell_angle_beta 90.00
_cell_angle_gamma 90.00
loop_
_atom_site_label
_atom_site_type_symbol
_atom_site_fract_x
_atom_site_fract_y
_atom_site_fract_z
Np1 Np 0.000 0.000 0.000
Np2 Np 0.000 0.000 0.330
As1 As 0.000 0.000 0.500
P1 P 0.000 0.000 0.166
# Magnetization, Bohr magnetons per cell: 22.75
# D(E_F), states/eV per atom: 3.777
# Energy of formation, meV/atom: -793
# Raw total energy, eV per cell: -118.1

# 4
# Re4As PBE optimized geometry
data_Re4As
_symmetry_space_group_name_H-M 'P m -3 m'
_symmetry_Int_Tables_number 221
_symmetry_space_group_name_Hall '-P 4 2 3'
_cell_length_a 4.461
_cell_length_b 4.461
_cell_length_c 4.461
_cell_angle_alpha 90.00
_cell_angle_beta 90.00
_cell_angle_gamma 90.00
loop_
_atom_site_label
_atom_site_type_symbol
_atom_site_fract_x
_atom_site_fract_y
_atom_site_fract_z
Re1 Re 0.000 0.000 0.000
Re2 Re 0.000 0.500 0.500
As1 As 0.500 0.500 0.500
# Magnetization, Bohr magnetons per cell: 1.10
# D(E_F), states/eV per atom: 0.968
# Energy of formation, meV/atom: 1883
# Raw total energy, eV per cell: -45.0
# Polymorph energy (0 for the lowest one), eV/atom: 1.5475

# 5
# K2InAgBr6 PBE optimized geometry
data_K2InAgBr6
_symmetry_space_group_name_H-M 'F m -3 m'
_symmetry_Int_Tables_number 225
_symmetry_space_group_name_Hall '-F 4 2 3'
_cell_length_a 11.060
_cell_length_b 11.060
_cell_length_c 11.060
_cell_angle_alpha 90.00
_cell_angle_beta 90.00
_cell_angle_gamma 90.00
loop_
_atom_site_label
_atom_site_type_symbol
_atom_site_fract_x
_atom_site_fract_y
_atom_site_fract_z
K1 K 0.250 0.250 0.250
In1 In 0.000 0.000 0.000
Ag1 Ag 0.000 0.000 0.500
Br1 Br 0.000 0.000 0.245
# Magnetization, Bohr magnetons per cell: 0.00
# D(E_F), states/eV per atom: 0.081
# Formation energy from raw total energies, eV/f.u.: -10.6
# Raw total energy, eV per cell: -113.8
# Polymorph energy (0 for the lowest one), eV/atom: 0.0393

# 6
# Rb2Co2I7 PBE optimized geometry
data_Rb2Co2I7
_symmetry_space_group_name_H-M 'P 1 21/c 1'
_symmetry_Int_Tables_number 14
_symmetry_space_group_name_Hall '-P 2ybc'
_cell_length_a 6.981
_cell_length_b 17.439
_cell_length_c 9.197
_cell_angle_alpha 90.00
_cell_angle_beta 100.43
_cell_angle_gamma 90.00
loop_
_atom_site_label
_atom_site_type_symbol
_atom_site_fract_x
_atom_site_fract_y
_atom_site_fract_z
Rb1 Rb 0.121 0.157 0.466
Co1 Co 0.318 0.603 0.626
I1 I 0.009 0.641 0.453
I2 I 0.241 0.547 0.866
I3 I 0.475 0.221 0.803
I4 I 0.500 0.000 0.000
# Magnetization, Bohr magnetons per cell: 14.06
# D(E_F), states/eV per atom: 0.814
# Formation energy from raw total energies, eV/f.u.: -5.7
# Raw total energy, eV per cell: -65.4

# 7
# Mn7C6 PBE optimized geometry
data_Mn7C6
_symmetry_space_group_name_H-M 'R -3 m'
_symmetry_Int_Tables_number 166
_symmetry_space_group_name_Hall '-R 3 2"'
_cell_length_a 4.9372
_cell_length_b 4.9372
_cell_length_c 19.1006
_cell_angle_alpha 90.00
_cell_angle_beta 90.00
_cell_angle_gamma 120.00
loop_
_atom_site_label
_atom_site_type_symbol
_atom_site_fract_x
_atom_site_fract_y
_atom_site_fract_z
Mn1 Mn 0.0000 0.0000 0.0000
Mn2 Mn 0.0120 0.5060 0.4288
C1 C 0.0000 0.0000 0.1636
C2 C 0.0000 0.0000 0.3174
C3 C 0.0000 0.0000 0.3915
# Magnetization, Bohr magnetons per cell: 21.72
# D(E_F), states/eV per atom: 0.470
# Energy of formation, meV/atom: 755
# Raw total energy, eV per cell: -329.1

# 8
# LuSnRu PBE optimized geometry
data_LuSnRu
_symmetry_space_group_name_H-M 'P -6 m 2'
_symmetry_Int_Tables_number 187
_symmetry_space_group_name_Hall 'P -6 2'
_cell_length_a 4.6074
_cell_length_b 4.6074
_cell_length_c 3.3901
_cell_angle_alpha 90.00
_cell_angle_beta 90.00
_cell_angle_gamma 120.00
loop_
_atom_site_label
_atom_site_type_symbol
_atom_site_fract_x
_atom_site_fract_y
_atom_site_fract_z
Lu1 Lu 0.0000 0.0000 0.0000
Sn1 Sn 0.6667 0.3333 0.5000
Ru1 Ru 0.3333 0.6667 0.5000
# Magnetization, Bohr magnetons per cell: 0.00
# D(E_F), states/eV per atom: 0.650
# Energy of formation, meV/atom: -408
# Raw total energy, eV per cell: -19.0

# 9
# ThSiIrPt PBE optimized geometry
data_ThSiIrPt
_symmetry_space_group_name_H-M 'P 4/n m m'
_symmetry_Int_Tables_number 129
_cell_length_a 4.044
_cell_length_b 4.044
_cell_length_c 9.513
_cell_angle_alpha 90.00
_cell_angle_beta 90.00
_cell_angle_gamma 90.00
loop_
_symmetry_equiv_pos_as_xyz
'x,y,z'
'-x,-y,-z'
'-y+1/2,x,z'
'y+1/2,-x,-z'
'-x+1/2,-y+1/2,z'
'x+1/2,y+1/2,-z'
'y,-x+1/2,z'
'-y,x+1/2,-z'
'x+1/2,-y,-z'
'-x+1/2,y,z'
'-y,-x,-z'
'y,x,z'
'-x,y+1/2,-z'
'x,-y+1/2,z'
'y+1/2,x+1/2,-z'
'-y+1/2,-x+1/2,z'
loop_
_atom_site_label
_atom_site_type_symbol
_atom_site_fract_x
_atom_site_fract_y
_atom_site_fract_z
Th1 Th 0.250 0.250 0.226
Si1 Si 0.250 0.250 0.639
Ir1 Ir 0.250 0.750 0.500
Pt1 Pt 0.250 0.250 0.898
# Magnetization, Bohr magnetons per cell: 0.00
# D(E_F), states/eV per atom: 0.655
# Formation energy from raw total energies, eV/f.u.: -4.5
# Raw total energy, eV per cell: -64.4

# 10
# Er2TiO PBE optimized geometry
data_Er2TiO
_symmetry_space_group_name_H-M 'R -3 m'
_symmetry_Int_Tables_number 166
_symmetry_space_group_name_Hall '-R 3 2"'
_cell_length_a 3.2941
_cell_length_b 3.2941
_cell_length_c 25.7699
_cell_angle_alpha 90.00
_cell_angle_beta 90.00
_cell_angle_gamma 120.00
loop_
_atom_site_label
_atom_site_type_symbol
_atom_site_fract_x
_atom_site_fract_y
_atom_site_fract_z
Er1 Er 0.0000 0.0000 0.1126
Ti1 Ti 0.0000 0.0000 0.0000
O1 O 0.0000 0.0000 0.5000
# Magnetization, Bohr magnetons per cell: 4.58
# D(E_F), states/eV per atom: 0.768
# Formation energy from raw total energies, eV/f.u.: -4.0
# Raw total energy, eV per cell: -77.8